Record 1
Entry from the Alexandria database: crystalline KVNi2Ge at its relaxed geometry (PBE).

Computed properties:
ΔE_f, eV/atom: 0.671
D(E_F), states/eV/cell: 4.9
Magnetic moment, μB per formula unit: 3.9
Energy relative to the lowest polymorph listed for this composition, kJ per mole of atoms: 0.0

```
data_KVNi2Ge
_chemical_formula_sum 'K1 V1 Ni2 Ge1'
_cell_length_a 4.578
_cell_length_b 4.578
_cell_length_c 4.906
_cell_angle_alpha 90.00
_cell_angle_beta 90.00
_cell_angle_gamma 90.00
_space_group_name_H-M_alt 'P 4/m m m'
_space_group_IT_number 123
_space_group_name_Hall '-P 4 2'
loop_
_atom_site_label
_atom_site_fract_x
_atom_site_fract_y
_atom_site_fract_z
_atom_site_occupancy
K1 0.000 0.000 0.000 1
V1 0.500 0.500 0.000 1
Ni1 0.000 0.500 0.500 1
Ge1 0.500 0.500 0.500 1
```

Record 2
Entry from the Alexandria database: crystalline Ca3C at its relaxed geometry (PBE).

Computed properties:
ΔE_f, eV/atom: 0.486
D(E_F), states/eV/cell: 4.7
Magnetic moment, μB per formula unit: 0.3
Energy relative to the lowest polymorph listed for this composition, kJ per mole of atoms: 23.1

```
data_Ca3C
_chemical_formula_sum 'Ca3 C1'
_cell_length_a 3.298
_cell_length_b 3.298
_cell_length_c 9.646
_cell_angle_alpha 90.00
_cell_angle_beta 90.00
_cell_angle_gamma 90.00
_space_group_name_H-M_alt 'P 4/m m m'
_space_group_IT_number 123
_space_group_name_Hall '-P 4 2'
loop_
_atom_site_label
_atom_site_fract_x
_atom_site_fract_y
_atom_site_fract_z
_atom_site_occupancy
Ca1 0.000 0.000 0.000 1
Ca2 0.500 0.500 0.353 1
C1 0.000 0.000 0.500 1
```

Record 3
Entry from the Alexandria database: crystalline LiLa2Cu6Ni at its relaxed geometry (PBE).

Computed properties:
ΔE_f, eV/atom: -0.087
D(E_F), states/eV/cell: 5.4
Magnetic moment, μB per formula unit: 0.0

```
data_LiLa2Cu6Ni
_chemical_formula_sum 'Li1 La2 Cu6 Ni1'
_cell_length_a 6.069
_cell_length_b 6.128
_cell_length_c 6.147
_cell_angle_alpha 63.97
_cell_angle_beta 64.31
_cell_angle_gamma 64.18
_space_group_name_H-M_alt 'P -1'
_space_group_IT_number 2
_space_group_name_Hall '-P 1'
loop_
_atom_site_label
_atom_site_fract_x
_atom_site_fract_y
_atom_site_fract_z
_atom_site_occupancy
Li1 0.000 0.000 0.000 1
La1 0.317 0.319 0.318 1
Cu1 0.111 0.657 0.816 1
Cu2 0.184 0.892 0.344 1
Cu3 0.343 0.185 0.893 1
Ni1 0.500 0.500 0.500 1
```

Record 4
Entry from the Alexandria database: crystalline Cr2CoRu at its relaxed geometry (PBE).

Computed properties:
ΔE_f, eV/atom: 0.109
D(E_F), states/eV/cell: 9.0
Magnetic moment, μB per formula unit: 0.4

```
data_Cr2CoRu
_chemical_formula_sum 'Cr4 Co2 Ru2'
_cell_length_a 3.625
_cell_length_b 3.625
_cell_length_c 7.298
_cell_angle_alpha 90.00
_cell_angle_beta 90.00
_cell_angle_gamma 90.00
_space_group_name_H-M_alt 'I -4 m 2'
_space_group_IT_number 119
_space_group_name_Hall 'I -4 -2'
loop_
_atom_site_label
_atom_site_fract_x
_atom_site_fract_y
_atom_site_fract_z
_atom_site_occupancy
Cr1 0.000 0.000 0.000 1
Cr2 0.000 0.500 0.250 1
Co1 0.000 0.000 0.500 1
Ru1 0.000 0.500 0.750 1
```

Record 5
Entry from the Alexandria database: crystalline ZrPOs3 at its relaxed geometry (PBE).

Computed properties:
ΔE_f, eV/atom: 2.790
D(E_F), states/eV/cell: 6.9
Magnetic moment, μB per formula unit: 0.0
Energy relative to the lowest polymorph listed for this composition, kJ per mole of atoms: 243.8

```
data_ZrPOs3
_chemical_formula_sum 'Zr1 P1 Os3'
_cell_length_a 4.824
_cell_length_b 4.824
_cell_length_c 4.824
_cell_angle_alpha 90.00
_cell_angle_beta 90.00
_cell_angle_gamma 90.00
_space_group_name_H-M_alt 'P m -3 m'
_space_group_IT_number 221
_space_group_name_Hall '-P 4 2 3'
loop_
_atom_site_label
_atom_site_fract_x
_atom_site_fract_y
_atom_site_fract_z
_atom_site_occupancy
Zr1 0.000 0.000 0.000 1
P1 0.500 0.500 0.500 1
Os1 0.000 0.000 0.500 1
```

Record 6
Entry from the Alexandria database: crystalline Pu2HfNp3P6 at its relaxed geometry (PBE).

Computed properties:
ΔE_f, eV/atom: -1.026
D(E_F), states/eV/cell: 78.0
Magnetic moment, μB per formula unit: 6.6

```
data_Pu2HfNp3P6
_chemical_formula_sum 'Pu4 Hf2 Np6 P12'
_cell_length_a 6.789
_cell_length_b 11.730
_cell_length_c 6.769
_cell_angle_alpha 90.00
_cell_angle_beta 109.46
_cell_angle_gamma 90.00
_space_group_name_H-M_alt 'C 1 2/m 1'
_space_group_IT_number 12
_space_group_name_Hall '-C 2y'
loop_
_atom_site_label
_atom_site_fract_x
_atom_site_fract_y
_atom_site_fract_z
_atom_site_occupancy
Pu1 0.000 0.166 0.000 1
Hf1 0.000 0.500 0.000 1
Np1 0.000 0.000 0.500 1
Np2 0.000 0.331 0.500 1
P1 0.241 0.500 0.752 1
P2 0.243 0.338 0.244 1
```

Record 7
Entry from the Alexandria database: crystalline Ta2TlAg at its relaxed geometry (PBE).

Computed properties:
ΔE_f, eV/atom: 0.323
D(E_F), states/eV/cell: 2.7
Magnetic moment, μB per formula unit: 0.0

```
data_Ta2TlAg
_chemical_formula_sum 'Ta2 Tl1 Ag1'
_cell_length_a 2.917
_cell_length_b 2.917
_cell_length_c 9.267
_cell_angle_alpha 90.00
_cell_angle_beta 90.00
_cell_angle_gamma 90.00
_space_group_name_H-M_alt 'P 4 m m'
_space_group_IT_number 99
_space_group_name_Hall 'P 4 -2'
loop_
_atom_site_label
_atom_site_fract_x
_atom_site_fract_y
_atom_site_fract_z
_atom_site_occupancy
Ta1 0.000 0.000 0.000 1
Ta2 0.500 0.500 0.236 1
Tl1 0.000 0.000 0.501 1
Ag1 0.500 0.500 0.766 1
```

Record 8
Entry from the Alexandria database: crystalline AcGaCo3B at its relaxed geometry (PBE).

Computed properties:
ΔE_f, eV/atom: -0.172
D(E_F), states/eV/cell: 25.2
Magnetic moment, μB per formula unit: 1.1

```
data_AcGaCo3B
_chemical_formula_sum 'Ac4 Ga4 Co12 B4'
_cell_length_a 5.600
_cell_length_b 11.365
_cell_length_c 5.832
_cell_angle_alpha 90.00
_cell_angle_beta 90.00
_cell_angle_gamma 90.00
_space_group_name_H-M_alt 'C m c m'
_space_group_IT_number 63
_space_group_name_Hall '-C 2c 2'
loop_
_atom_site_label
_atom_site_fract_x
_atom_site_fract_y
_atom_site_fract_z
_atom_site_occupancy
Ac1 0.000 0.235 0.250 1
Ga1 0.000 0.111 0.750 1
Co1 0.000 0.329 0.750 1
Co2 0.229 0.500 0.000 1
B1 0.000 0.498 0.250 1
```

Record 9
Entry from the Alexandria database: crystalline CaFe2Ni at its relaxed geometry (PBE).

Computed properties:
ΔE_f, eV/atom: 0.564
D(E_F), states/eV/cell: 9.3
Magnetic moment, μB per formula unit: 5.4

```
data_CaFe2Ni
_chemical_formula_sum 'Ca2 Fe4 Ni2'
_cell_length_a 5.116
_cell_length_b 8.780
_cell_length_c 2.650
_cell_angle_alpha 90.00
_cell_angle_beta 90.00
_cell_angle_gamma 90.00
_space_group_name_H-M_alt 'C m m m'
_space_group_IT_number 65
_space_group_name_Hall '-C 2 2'
loop_
_atom_site_label
_atom_site_fract_x
_atom_site_fract_y
_atom_site_fract_z
_atom_site_occupancy
Ca1 0.000 0.000 0.000 1
Fe1 0.250 0.250 0.500 1
Ni1 0.000 0.500 0.000 1
```

Record 10
Entry from the Alexandria database: crystalline NpHgS4 at its relaxed geometry (PBE).

Computed properties:
D(E_F), states/eV/cell: 13.1
Raw formation energy, eV per atom: -0.492
Magnetic moment, μB per formula unit: 1.0

```
data_NpHgS4
_chemical_formula_sum 'Np2 Hg2 S8'
_cell_length_a 13.601
_cell_length_b 3.918
_cell_length_c 7.084
_cell_angle_alpha 90.00
_cell_angle_beta 116.99
_cell_angle_gamma 90.00
_space_group_name_H-M_alt 'C 1 2/m 1'
_space_group_IT_number 12
_space_group_name_Hall '-C 2y'
loop_
_atom_site_label
_atom_site_fract_x
_atom_site_fract_y
_atom_site_fract_z
_atom_site_occupancy
Np1 0.000 0.000 0.000 1
Hg1 0.000 0.500 0.500 1
S1 0.099 0.000 0.406 1
S2 0.125 0.500 0.019 1
```

Record 11
Entry from the Alexandria database: crystalline As2PdS4 at its relaxed geometry (PBE).

Computed properties:
D(E_F), states/eV/cell: 10.0
Raw formation energy, eV per atom: 0.048
Magnetic moment, μB per formula unit: 0.0
Energy relative to the lowest polymorph listed for this composition, kJ per mole of atoms: 0.0

```
data_As2PdS4
_chemical_formula_sum 'As8 Pd4 S16'
_cell_length_a 3.532
_cell_length_b 11.843
_cell_length_c 12.765
_cell_angle_alpha 90.00
_cell_angle_beta 90.00
_cell_angle_gamma 90.00
_space_group_name_H-M_alt 'C m c m'
_space_group_IT_number 63
_space_group_name_Hall '-C 2c 2'
loop_
_atom_site_label
_atom_site_fract_x
_atom_site_fract_y
_atom_site_fract_z
_atom_site_occupancy
As1 0.000 0.136 0.065 1
Pd1 0.000 0.402 0.250 1
S1 0.000 0.032 0.250 1
S2 0.000 0.226 0.622 1
S3 0.000 0.500 0.000 1
```

Record 12
Entry from the Alexandria database: crystalline CsGaPbCl6 at its relaxed geometry (PBE).

Computed properties:
D(E_F), states/eV/cell: 0.0
Raw formation energy, eV per atom: -1.318
Magnetic moment, μB per formula unit: 0.0

```
data_CsGaPbCl6
_chemical_formula_sum 'Cs1 Ga1 Pb1 Cl6'
_cell_length_a 7.1061
_cell_length_b 7.1061
_cell_length_c 7.4723
_cell_angle_alpha 90.00
_cell_angle_beta 90.00
_cell_angle_gamma 120.00
_space_group_name_H-M_alt 'P 3 1 2'
_space_group_IT_number 149
_space_group_name_Hall 'P 3 2'
loop_
_atom_site_label
_atom_site_fract_x
_atom_site_fract_y
_atom_site_fract_z
_atom_site_occupancy
Cs1 0.0000 0.0000 0.0000 1
Ga1 0.6667 0.3333 0.5000 1
Pb1 0.3333 0.6667 0.5000 1
Cl1 0.3986 0.0531 0.6901 1
```

Record 13
Entry from the Alexandria database: crystalline YMoRh2 at its relaxed geometry (PBE).

Computed properties:
ΔE_f, eV/atom: 0.272
D(E_F), states/eV/cell: 20.9
Magnetic moment, μB per formula unit: 0.5
Energy relative to the lowest polymorph listed for this composition, kJ per mole of atoms: 52.0

```
data_YMoRh2
_chemical_formula_sum 'Y3 Mo3 Rh6'
_cell_length_a 3.0226
_cell_length_b 3.0226
_cell_length_c 26.9847
_cell_angle_alpha 90.00
_cell_angle_beta 90.00
_cell_angle_gamma 120.00
_space_group_name_H-M_alt 'R 3 m'
_space_group_IT_number 160
_space_group_name_Hall 'R 3 -2"'
loop_
_atom_site_label
_atom_site_fract_x
_atom_site_fract_y
_atom_site_fract_z
_atom_site_occupancy
Y1 0.0000 0.0000 0.0000 1
Mo1 0.0000 0.0000 0.7619 1
Rh1 0.0000 0.0000 0.2513 1
Rh2 0.0000 0.0000 0.5006 1
```

Record 14
Entry from the Alexandria database: crystalline Rb2U3AgSe8 at its relaxed geometry (PBE).

Computed properties:
D(E_F), states/eV/cell: 48.8
Raw formation energy, eV per atom: -1.069
Magnetic moment, μB per formula unit: 5.0

```
data_Rb2U3AgSe8
_chemical_formula_sum 'Rb6 U9 Ag3 Se24'
_cell_length_a 8.2824
_cell_length_b 8.2824
_cell_length_c 25.7131
_cell_angle_alpha 90.00
_cell_angle_beta 90.00
_cell_angle_gamma 120.00
_space_group_name_H-M_alt 'R 3 m'
_space_group_IT_number 160
_space_group_name_Hall 'R 3 -2"'
loop_
_atom_site_label
_atom_site_fract_x
_atom_site_fract_y
_atom_site_fract_z
_atom_site_occupancy
Rb1 0.0000 0.0000 0.0000 1
Rb2 0.0000 0.0000 0.3539 1
U1 0.1682 0.3365 0.1880 1
Ag1 0.0000 0.0000 0.8413 1
Se1 0.0000 0.0000 0.1290 1
Se2 0.0000 0.0000 0.5825 1
Se3 0.0180 0.5090 0.1266 1
Se4 0.1761 0.3521 0.9145 1
```

Record 15
Entry from the Alexandria database: crystalline SiGeBF2 at its relaxed geometry (PBE).

Computed properties:
D(E_F), states/eV/cell: 1.2
Raw formation energy, eV per atom: -0.135
Magnetic moment, μB per formula unit: 0.0

```
data_SiGeBF2
_chemical_formula_sum 'Si1 Ge1 B1 F2'
_cell_length_a 3.844
_cell_length_b 3.844
_cell_length_c 5.130
_cell_angle_alpha 90.00
_cell_angle_beta 90.00
_cell_angle_gamma 90.00
_space_group_name_H-M_alt 'P 4/m m m'
_space_group_IT_number 123
_space_group_name_Hall '-P 4 2'
loop_
_atom_site_label
_atom_site_fract_x
_atom_site_fract_y
_atom_site_fract_z
_atom_site_occupancy
Si1 0.000 0.000 0.000 1
Ge1 0.000 0.000 0.500 1
B1 0.500 0.500 0.000 1
F1 0.000 0.500 0.500 1
```

Record 16
Entry from the Alexandria database: crystalline InRe2Au at its relaxed geometry (PBE).

Computed properties:
ΔE_f, eV/atom: 0.202
D(E_F), states/eV/cell: 1.9
Magnetic moment, μB per formula unit: 0.0

```
data_InRe2Au
_chemical_formula_sum 'In1 Re2 Au1'
_cell_length_a 2.977
_cell_length_b 2.977
_cell_length_c 7.902
_cell_angle_alpha 90.00
_cell_angle_beta 90.00
_cell_angle_gamma 90.00
_space_group_name_H-M_alt 'P 4 m m'
_space_group_IT_number 99
_space_group_name_Hall 'P 4 -2'
loop_
_atom_site_label
_atom_site_fract_x
_atom_site_fract_y
_atom_site_fract_z
_atom_site_occupancy
In1 0.000 0.000 0.000 1
Re1 0.000 0.000 0.457 1
Re2 0.500 0.500 0.269 1
Au1 0.500 0.500 0.724 1
```

Record 17
Entry from the Alexandria database: crystalline SmSc2InO at its relaxed geometry (PBE).

Computed properties:
D(E_F), states/eV/cell: 3.2
Raw formation energy, eV per atom: -1.411
Magnetic moment, μB per formula unit: 0.0

```
data_SmSc2InO
_chemical_formula_sum 'Sm1 Sc2 In1 O1'
_cell_length_a 4.527
_cell_length_b 4.527
_cell_length_c 4.851
_cell_angle_alpha 90.00
_cell_angle_beta 90.00
_cell_angle_gamma 90.00
_space_group_name_H-M_alt 'P 4/m m m'
_space_group_IT_number 123
_space_group_name_Hall '-P 4 2'
loop_
_atom_site_label
_atom_site_fract_x
_atom_site_fract_y
_atom_site_fract_z
_atom_site_occupancy
Sm1 0.000 0.000 0.000 1
Sc1 0.000 0.500 0.500 1
In1 0.500 0.500 0.000 1
O1 0.000 0.000 0.500 1
```

Record 18
Entry from the Alexandria database: crystalline PmSmCo4 at its relaxed geometry (PBE).

Computed properties:
ΔE_f, eV/atom: -0.107
D(E_F), states/eV/cell: 9.1
Magnetic moment, μB per formula unit: 2.8
Energy relative to the lowest polymorph listed for this composition, kJ per mole of atoms: 0.0

```
data_PmSmCo4
_chemical_formula_sum 'Pm2 Sm2 Co8'
_cell_length_a 3.882
_cell_length_b 6.733
_cell_length_c 8.313
_cell_angle_alpha 90.00
_cell_angle_beta 90.00
_cell_angle_gamma 90.00
_space_group_name_H-M_alt 'I m m m'
_space_group_IT_number 71
_space_group_name_Hall '-I 2 2'
loop_
_atom_site_label
_atom_site_fract_x
_atom_site_fract_y
_atom_site_fract_z
_atom_site_occupancy
Pm1 0.000 0.000 0.000 1
Sm1 0.000 0.000 0.500 1
Co1 0.000 0.333 0.250 1
```

Record 19
Entry from the Alexandria database: crystalline LiSe2Cl at its relaxed geometry (PBE).

Computed properties:
D(E_F), states/eV/cell: 2.1
Raw formation energy, eV per atom: -0.653
Magnetic moment, μB per formula unit: 0.0
Energy relative to the lowest polymorph listed for this composition, kJ per mole of atoms: 11.1

```
data_LiSe2Cl
_chemical_formula_sum 'Li2 Se4 Cl2'
_cell_length_a 3.901
_cell_length_b 4.033
_cell_length_c 14.187
_cell_angle_alpha 90.00
_cell_angle_beta 90.00
_cell_angle_gamma 90.00
_space_group_name_H-M_alt 'I m m 2'
_space_group_IT_number 44
_space_group_name_Hall 'I 2 -2'
loop_
_atom_site_label
_atom_site_fract_x
_atom_site_fract_y
_atom_site_fract_z
_atom_site_occupancy
Li1 0.000 0.000 0.000 1
Se1 0.000 0.000 0.265 1
Se2 0.000 0.500 0.358 1
Cl1 0.000 0.500 0.066 1
```

Record 20
Entry from the Alexandria database: crystalline KSr3Ir at its relaxed geometry (PBE).

Computed properties:
ΔE_f, eV/atom: 1.567
D(E_F), states/eV/cell: 7.7
Magnetic moment, μB per formula unit: 1.5
Energy relative to the lowest polymorph listed for this composition, kJ per mole of atoms: 160.8

```
data_KSr3Ir
_chemical_formula_sum 'K1 Sr3 Ir1'
_cell_length_a 5.900
_cell_length_b 5.900
_cell_length_c 5.900
_cell_angle_alpha 90.00
_cell_angle_beta 90.00
_cell_angle_gamma 90.00
_space_group_name_H-M_alt 'P m -3 m'
_space_group_IT_number 221
_space_group_name_Hall '-P 4 2 3'
loop_
_atom_site_label
_atom_site_fract_x
_atom_site_fract_y
_atom_site_fract_z
_atom_site_occupancy
K1 0.000 0.000 0.000 1
Sr1 0.000 0.000 0.500 1
Ir1 0.500 0.500 0.500 1
```